## Tb7TmSc4 (PBE)

Data for a relaxed Tb7TmSc4 crystal.

The value obtained for the energy is -5.163 eV per atom. The calculated formation energy is 21 meV/atom. The calculation puts the size of the total moment at 0.00 μB/cell. The crystal system is triclinic.

Cell lengths 6.9688, 9.2201, 8.5592 Å; angles 81.01, 89.92, 40.93 degrees
Element x y z (fractional)
Tb: 0.7517 0.5033 0.0055
Tb: 0.2483 0.4967 0.9945
Tb: 0.9706 0.2847 0.6607
Tb: 0.0294 0.7153 0.3393
Tb: 0.2228 0.7774 0.6637
Tb: 0.5000 0.0000 0.0000
Tb: 0.7772 0.2226 0.3363
Tm: 0.0000 0.0000 0.0000
Sc: 0.5293 0.7255 0.3369
Sc: 0.4707 0.2745 0.6631
Sc: 0.7157 0.7840 0.6602
Sc: 0.2843 0.2160 0.3398